This record from the Alexandria database describes Ac8Os3SeI3 after structural relaxation. The functional is PBE.

```
Ac8Os3SeI3
1.0
-7.623 -3.948 -2.621
7.830 -2.539 -3.579
-1.791 -2.677 9.242
Os Ac I Se
3 8 3 1
Cartesian
-0.792 -4.582 1.521 Os
3.020 -2.608 2.831 Os
-4.707 -3.313 3.310 Os
1.614 -3.263 0.222 Ac
-2.292 -5.136 -0.966 Ac
-2.391 -2.125 1.910 Ac
-5.925 -3.956 0.695 Ac
4.341 -5.209 2.346 Ac
0.709 -4.029 4.007 Ac
-3.197 -5.902 2.819 Ac
0.807 -7.040 1.131 Ac
0.104 -3.244 -3.100 I
3.915 -1.269 -1.790 I
0.000 0.000 0.000 I
-0.895 -1.339 4.621 Se
```

## Properties
The calculation puts the volume at 579.2 Å³/cell. For the formation energy from raw total energies, the calculation gives -0.665 eV/atom.

---

This record from the Alexandria database describes Ac4OsSeI2 after structural relaxation. The functional is PBE.

```
Ac4OsSeI2
1.0
4.382 0.000 0.000
0.000 8.155 0.305
0.000 -2.709 8.328
I Ac Se Os
2 4 1 1
Cartesian
2.191 -1.355 4.164 I
0.000 2.723 4.317 I
0.000 5.221 1.763 Ac
2.191 1.568 1.703 Ac
0.000 0.225 6.870 Ac
2.191 3.878 6.930 Ac
0.000 0.000 0.000 Se
2.191 4.078 0.153 Os
```

## Properties
The calculation puts the volume at 301.2 Å³/cell. For the formation energy from raw total energies, the calculation gives -1.014 eV/atom.

---

- Look up the volume of the second one.
  301.2 Å³/cell

---

- formation energy from raw total energies of number 2 (Ac4OsSeI2)?
  -1.014 eV/atom

---

- Among the records above, which one has the lowest formation energy from raw total energies?
  Ac4OsSeI2

---

Copy entry 2 word for word.
This record from the Alexandria database describes Ac4OsSeI2 after structural relaxation. The functional is PBE.

```
Ac4OsSeI2
1.0
4.382 0.000 0.000
0.000 8.155 0.305
0.000 -2.709 8.328
I Ac Se Os
2 4 1 1
Cartesian
2.191 -1.355 4.164 I
0.000 2.723 4.317 I
0.000 5.221 1.763 Ac
2.191 1.568 1.703 Ac
0.000 0.225 6.870 Ac
2.191 3.878 6.930 Ac
0.000 0.000 0.000 Se
2.191 4.078 0.153 Os
```

## Properties
The calculation puts the volume at 301.2 Å³/cell. For the formation energy from raw total energies, the calculation gives -1.014 eV/atom.